VASP calculation (PBE) on AlSnAu after structural relaxation.

Properties
Formation energy from the elements = 0.279 eV/atom

Unit cell a=4.259 b=4.259 c=11.015 alpha=90.00 beta=90.00 gamma=120.00
Fractional positions:
Al 0.000 0.000 0.750
Al 0.000 0.000 0.250
Sn 0.000 0.000 0.500
Au 0.333 0.667 0.250
Sn 0.000 0.000 0.000
Au 0.667 0.333 0.750